[1]
The following is a PBE calculation of an optimized crystal structure of Np3As5S12, from Alexandria via LeMat-Bulk.

The structure in POSCAR format:
```
Np3As5S12
1.0
-7.759 7.759 7.759
7.759 -7.759 7.759
7.759 7.759 -7.759
Np As S
12 20 48
Direct
0.125 0.250 0.375
0.125 0.375 0.750
0.250 0.375 0.125
0.250 0.875 0.625
0.375 0.125 0.250
0.375 0.750 0.125
0.625 0.250 0.875
0.625 0.875 0.750
0.750 0.125 0.375
0.750 0.625 0.875
0.875 0.625 0.250
0.875 0.750 0.625
0.000 0.000 0.000
0.000 0.000 0.500
0.000 0.500 0.000
0.000 0.500 0.500
0.125 0.750 0.875
0.125 0.875 0.250
0.250 0.125 0.875
0.250 0.625 0.375
0.375 0.250 0.625
0.375 0.625 0.750
0.500 0.000 0.000
0.500 0.000 0.500
0.500 0.500 0.000
0.500 0.500 0.500
0.625 0.375 0.250
0.625 0.750 0.375
0.750 0.375 0.625
0.750 0.875 0.125
0.875 0.125 0.750
0.875 0.250 0.125
0.043 0.215 0.131
0.043 0.328 0.912
0.084 0.715 0.672
0.084 0.869 0.412
0.088 0.631 0.416
0.088 0.957 0.672
0.131 0.043 0.215
0.131 0.588 0.916
0.172 0.215 0.584
0.172 0.457 0.588
0.215 0.131 0.043
0.215 0.584 0.172
0.285 0.328 0.916
0.285 0.457 0.369
0.328 0.912 0.043
0.328 0.916 0.285
0.369 0.285 0.457
0.369 0.584 0.912
0.412 0.084 0.869
0.412 0.828 0.543
0.416 0.088 0.631
0.416 0.828 0.785
0.457 0.369 0.285
0.457 0.588 0.172
0.543 0.412 0.828
0.543 0.631 0.715
0.584 0.172 0.215
0.584 0.912 0.369
0.588 0.172 0.457
0.588 0.916 0.131
0.631 0.416 0.088
0.631 0.715 0.543
0.672 0.084 0.715
0.672 0.088 0.957
0.715 0.543 0.631
0.715 0.672 0.084
0.785 0.416 0.828
0.785 0.869 0.957
0.828 0.543 0.412
0.828 0.785 0.416
0.869 0.412 0.084
0.869 0.957 0.785
0.912 0.043 0.328
0.912 0.369 0.584
0.916 0.131 0.588
0.916 0.285 0.328
0.957 0.672 0.088
0.957 0.785 0.869
```

## Properties
* D(E_F): 113.46 states/eV/cell
* uncorrected formation energy: -0.43 eV per atom
* SG: Ia-3d (230)
* magnetization: 12.0 μB/f.u.


[2]
The following is a PBE calculation of an optimized crystal structure of HoHgPd6, from Alexandria via LeMat-Bulk.

The structure in POSCAR format:
```
HoHgPd6
1.0
5.736 0.000 0.000
0.000 5.736 0.000
0.000 0.000 4.144
Ho Hg Pd
1 1 6
Direct
0.000 0.000 0.000
0.500 0.500 0.000
0.000 0.500 0.000
0.252 0.252 0.500
0.252 0.748 0.500
0.500 0.000 0.000
0.748 0.252 0.500
0.748 0.748 0.500
```

## Properties
* D(E_F): 7.01 states/eV/cell
* ΔE_f: -0.51 eV/atom
* polymorph energy (0 for the lowest one): 0.0 meV per atom
* SG: P4/mmm (123)
* magnetization: 0.0 μB/f.u.


[3]
The following is a PBE calculation of an optimized crystal structure of CeThPb, from Alexandria via LeMat-Bulk.

The structure in POSCAR format:
```
CeThPb
1.0
5.782 0.000 0.000
-2.891 5.008 0.000
0.000 0.000 6.514
Ce Th Pb
2 2 2
Direct
0.333 0.667 0.250
0.667 0.333 0.750
0.000 0.000 0.250
0.000 0.000 0.750
0.333 0.667 0.750
0.667 0.333 0.250
```

## Properties
* D(E_F): 16.82 states/eV/cell
* ΔE_f: 0.04 eV/atom
* polymorph energy (0 for the lowest one): 307.3 meV per atom
* SG: P6_3/mmc (194)
* magnetization: 1.5 μB/f.u.


[4]
The following is a PBE calculation of an optimized crystal structure of La4Pr2NdSc, from Alexandria via LeMat-Bulk.

The structure in POSCAR format:
```
La4Pr2NdSc
1.0
6.040 0.000 0.000
0.000 6.046 0.000
0.000 0.000 7.627
La Pr Nd Sc
4 2 1 1
Direct
0.000 0.000 0.232
0.000 0.000 0.768
0.500 0.500 0.236
0.500 0.500 0.764
0.000 0.500 0.500
0.500 0.000 0.000
0.500 0.000 0.500
0.000 0.500 0.000
```

## Properties
* D(E_F): 14.25 states/eV/cell
* ΔE_f: 0.10 eV/atom
* SG: Pmmm (47)
* magnetization: 0.0 μB/f.u.


[5]
The following is a PBE calculation of an optimized crystal structure of CrAgBr2, from Alexandria via LeMat-Bulk.

The structure in POSCAR format:
```
CrAgBr2
1.0
3.598 0.000 0.000
-1.799 3.116 0.000
0.000 0.000 29.356
Cr Ag Br
3 3 6
Direct
0.000 0.000 0.000
0.333 0.667 0.667
0.667 0.333 0.333
0.000 0.000 0.500
0.333 0.667 0.167
0.667 0.333 0.833
0.000 0.000 0.279
0.000 0.000 0.721
0.333 0.667 0.388
0.333 0.667 0.946
0.667 0.333 0.054
0.667 0.333 0.612
```

## Properties
* D(E_F): 8.32 states/eV/cell
* uncorrected formation energy: -0.08 eV per atom
* polymorph energy (0 for the lowest one): 7.2 meV per atom
* SG: R-3m (166)
* magnetization: 3.9 μB/f.u.


[6]
The following is a PBE calculation of an optimized crystal structure of Na2Cd5HgAu2, from Alexandria via LeMat-Bulk.

The structure in POSCAR format:
```
Na2Cd5HgAu2
1.0
10.154 0.000 0.000
0.000 10.154 0.000
0.000 0.000 4.560
Na Cd Hg Au
4 10 2 4
Direct
0.175 0.325 0.000
0.325 0.825 0.000
0.675 0.175 0.000
0.825 0.675 0.000
0.000 0.500 0.500
0.068 0.796 0.500
0.204 0.068 0.500
0.296 0.568 0.500
0.432 0.296 0.500
0.500 0.000 0.500
0.568 0.704 0.500
0.704 0.432 0.500
0.796 0.932 0.500
0.932 0.204 0.500
0.000 0.000 0.000
0.500 0.500 0.000
0.121 0.621 0.000
0.379 0.121 0.000
0.621 0.879 0.000
0.879 0.379 0.000
```

## Properties
* D(E_F): 6.55 states/eV/cell
* ΔE_f: -0.18 eV/atom
* SG: P4/mbm (127)
* magnetization: 0.0 μB/f.u.


[7]
The following is a PBE calculation of an optimized crystal structure of MgBRh2, from Alexandria via LeMat-Bulk.

The structure in POSCAR format:
```
MgBRh2
1.0
2.825 0.000 0.000
0.000 2.825 0.000
0.000 0.000 6.199
Mg B Rh
1 1 2
Direct
0.000 0.000 0.000
0.000 0.000 0.500
0.500 0.500 0.294
0.500 0.500 0.706
```

## Properties
* D(E_F): 1.35 states/eV/cell
* ΔE_f: -0.28 eV/atom
* SG: P4/mmm (123)
* magnetization: 0.0 μB/f.u.


[8]
The following is a PBE calculation of an optimized crystal structure of ScPIr2, from Alexandria via LeMat-Bulk.

The structure in POSCAR format:
```
ScPIr2
1.0
3.973 0.000 0.000
0.000 3.003 0.000
0.000 0.000 10.303
Sc P Ir
2 2 4
Direct
0.000 0.000 0.000
0.000 0.500 0.500
0.500 0.000 0.389
0.500 0.500 0.889
0.000 0.000 0.269
0.000 0.500 0.769
0.500 0.000 0.623
0.500 0.500 0.123
```

## Properties
* D(E_F): 4.08 states/eV/cell
* ΔE_f: -0.60 eV/atom
* SG: Amm2 (38)
* magnetization: 0.0 μB/f.u.


[9]
The following is a PBE calculation of an optimized crystal structure of KY2Cl, from Alexandria via LeMat-Bulk.

The structure in POSCAR format:
```
KY2Cl
1.0
3.688 0.000 0.000
0.000 6.653 0.000
-0.001 0.000 5.590
K Y Cl
1 2 1
Direct
0.000 0.000 0.000
0.271 0.500 0.248
0.729 0.500 0.752
0.500 0.000 0.500
```

## Properties
* D(E_F): 5.05 states/eV/cell
* uncorrected formation energy: -0.17 eV per atom
* polymorph energy (0 for the lowest one): 478.7 meV per atom
* SG: P2/m (10)
* magnetization: 0.0 μB/f.u.